(1)
Material: K3TeS4
Method: DFT, PBE
State: optimized geometry

Properties
Raw formation energy = -586.2 meV/atom
Density of states at the Fermi level = 0.0672 states/eV per atom
Volume = 285.0 Å³ per cell
Magnetization = 0.0 μB per cell
Space group = No. 44

abc: 7.4176 7.4176 7.4176
angles: 88.68 121.82 119.71
With the nearest neighbours (Å) after each atom.
Fractional coordinates of all 8 atoms:
S: 0.1508 0.3133 0.4641  1 Te 2.38
S: 0.1508 0.6867 0.8375  1 Te 2.38
S: 0.5453 0.1694 0.3759  1 S 2.52, 1 Te 2.55
S: 0.2065 0.8306 0.3759  1 S 2.52, 1 Te 2.55
K: 0.9954 0.0000 0.9954  2 S 3.02
K: 0.5671 0.2410 0.8081  3 S 3.10-3.17
K: 0.5671 0.7590 0.3261  3 S 3.10-3.17
Te: 0.9680 0.5000 0.4680  4 S 2.38-2.55



(2)
Material: PrNdHo2Tl4
Method: DFT, PBE
State: optimized geometry

Properties
ΔH_f (0 K) = -0.355 eV/atom
Density of states at the Fermi level = 0.7857 states/eV per atom
Volume = 228.9 Å³ per cell
Magnetization = 0.0 μB per cell
Space group = No. 166

abc: 5.4463 5.4463 9.4503
angles: 73.25 73.25 60.00
With the nearest neighbours (Å) after each atom.
Fractional coordinates of all 8 atoms:
Tl: 0.6246 0.6246 0.1262  1 Nd 3.33, 4 Ho 3.33-3.35, 3 Pr 3.34
Tl: 0.8746 0.8746 0.3761  4 Ho 3.33-3.34, 3 Nd 3.33, 1 Pr 3.35
Tl: 0.3754 0.3754 0.8738  1 Nd 3.33, 4 Ho 3.33-3.35, 3 Pr 3.34
Tl: 0.1254 0.1254 0.6239  4 Ho 3.33-3.34, 3 Nd 3.33, 1 Pr 3.35
Pr: 0.0000 0.0000 0.0000  8 Tl 3.34-3.35
Ho: 0.2500 0.2500 0.2501  8 Tl 3.33-3.35
Ho: 0.7500 0.7500 0.7499  8 Tl 3.33-3.35
Nd: 0.5000 0.5000 0.5000  8 Tl 3.33



(3)
Material: PmNdGeBr
Method: DFT, PBE
State: optimized geometry

Properties
Raw formation energy = -902.7 meV/atom
Density of states at the Fermi level = 0.8345 states/eV per atom
Excess energy over the best structure of this formula in the dataset = 0.000 eV/atom
Volume = 102.6 Å³ per cell
Magnetization = 0.0 μB per cell
Space group = No. 216

abc: 5.2547 5.2547 5.2547
angles: 60.00 60.00 60.00
With the nearest neighbours (Å) after each atom.
Fractional coordinates of all 4 atoms:
Br: 0.7500 0.7500 0.7500  4 Pm 3.22, 4 Nd 3.22
Ge: 0.2500 0.2500 0.2500  4 Nd 3.22, 4 Pm 3.22
Nd: 0.5000 0.5000 0.5000  4 Ge 3.22, 4 Br 3.22
Pm: 0.0000 0.0000 0.0000  4 Ge 3.22, 4 Br 3.22